[1]
Density functional theory data (PBE-GGA) for a relaxed Rb2PSCl5 crystal.

The total moment comes out at 0.0 μB/cell. As for the uncorrected formation energy: -1.0156 eV per atom. Its density of states at the Fermi level is 2.12 states/eV per cell.

It has space group I4mm (No. 107), with a = 7.079 Å, b = 7.079 Å, c = 10.355 Å, α = 90.00°, β = 90.00° and γ = 90.00°. Symmetry generates all atoms from Rb at (0.000, 0.500, 0.000), P at (0.000, 0.000, 0.272), S at (0.000, 0.000, 0.469), Cl at (0.000, 0.000, 0.046) and Cl at (0.224, 0.224, 0.249).

[2]
Density functional theory data (PBE-GGA) for a relaxed Er2Ni3Sn5 crystal.

The total moment comes out at 0.0 μB/cell. Its density of states at the Fermi level is 14.72 states/eV per cell. For the energy of formation, the calculation gives -0.4698 eV per atom.

It has space group Cmc2_1 (No. 36), with a = 4.318 Å, b = 26.112 Å, c = 7.182 Å, α = 90.00°, β = 90.00° and γ = 90.00°. Symmetry generates all atoms from Er at (0.000, 0.026, 0.000), Er at (0.000, 0.328, 0.984), Ni at (0.000, 0.105, 0.256), Ni at (0.000, 0.277, 0.465), Ni at (0.000, 0.452, 0.223), Sn at (0.000, 0.093, 0.624), Sn at (0.000, 0.203, 0.185), Sn at (0.000, 0.213, 0.760), Sn at (0.000, 0.380, 0.496) and Sn at (0.000, 0.452, 0.836).

> Number 1 is which compound?

Rb2PSCl5

> Which formula does entry 2 have?

Er2Ni3Sn5

Repeat the second record exactly.
Density functional theory data (PBE-GGA) for a relaxed Er2Ni3Sn5 crystal.

The total moment comes out at 0.0 μB/cell. Its density of states at the Fermi level is 14.72 states/eV per cell. For the energy of formation, the calculation gives -0.4698 eV per atom.

It has space group Cmc2_1 (No. 36), with a = 4.318 Å, b = 26.112 Å, c = 7.182 Å, α = 90.00°, β = 90.00° and γ = 90.00°. Symmetry generates all atoms from Er at (0.000, 0.026, 0.000), Er at (0.000, 0.328, 0.984), Ni at (0.000, 0.105, 0.256), Ni at (0.000, 0.277, 0.465), Ni at (0.000, 0.452, 0.223), Sn at (0.000, 0.093, 0.624), Sn at (0.000, 0.203, 0.185), Sn at (0.000, 0.213, 0.760), Sn at (0.000, 0.380, 0.496) and Sn at (0.000, 0.452, 0.836).